Entry 1:
This record from Alexandria describes a geometry-optimized CaY3 structure. The functional is PBE-GGA.

Properties
Formation energy from the elements ... 0.07 eV/atom
Density of states at the Fermi level ... 1.655 states/eV per atom
Raw total energy ... -21.1 eV/f.u.

Cell lengths 6.901, 6.901, 6.901 Å; angles 149.18, 125.08, 64.31 degrees
Fractional positions:
1 Y 0.501 0.500 0.001
2 Y 0.906 0.241 0.665
3 Y 0.424 0.759 0.665
4 Ca 0.002 0.000 0.002

=====

Entry 2:
This record from Alexandria describes a geometry-optimized MgMnAl2 structure. The functional is PBE-GGA.

Properties
Formation energy from the elements ... 0.02 eV/atom
Density of states at the Fermi level ... 0.617 states/eV per atom
Raw total energy ... -18.2 eV/f.u.

Cell lengths 2.834, 2.834, 8.167 Å; angles 90.00, 90.00, 89.97 degrees
Fractional positions:
1 Al 0.000 0.000 0.976
2 Al 0.500 0.500 0.233
3 Mg 0.000 0.000 0.520
4 Mn 0.500 0.500 0.771

=====

Copy entry 2 word for word.
This record from Alexandria describes a geometry-optimized MgMnAl2 structure. The functional is PBE-GGA.

Properties
Formation energy from the elements ... 0.02 eV/atom
Density of states at the Fermi level ... 0.617 states/eV per atom
Raw total energy ... -18.2 eV/f.u.

Cell lengths 2.834, 2.834, 8.167 Å; angles 90.00, 90.00, 89.97 degrees
Fractional positions:
1 Al 0.000 0.000 0.976
2 Al 0.500 0.500 0.233
3 Mg 0.000 0.000 0.520
4 Mn 0.500 0.500 0.771